[1]
Below is crystalline Tb3Si2Pd3 at its relaxed geometry, with properties calculated at the PBE level.

For the energy relative to the elements, uncorrected, the calculation gives -937 meV/atom.

The space group is Pnma (No. 62) and the conventional cell measures 7.5806, 15.1723 and 5.6200 Å, with angles of 90.00, 90.00 and 90.00 degrees. The asymmetric unit holds Tb at (0.0285, 0.1089, 0.1359), Tb at (0.1667, 0.2500, 0.6273), Si at (0.1211, 0.6060, 0.3601), Pd at (0.1728, 0.0338, 0.5963) and Pd at (0.1861, 0.7500, 0.6123).



[2]
Below is crystalline Zr3TaAu at its relaxed geometry, with properties calculated at the PBE level.

The value obtained for the formation energy is 1044 meV/atom. For the distance to the lowest polymorph of the same formula, the calculation gives 0.571 eV per formula unit.

The space group is Pm-3m (No. 221) and the conventional cell measures 5.1012, 5.1012 and 5.1012 Å, with angles of 90.00, 90.00 and 90.00 degrees. The asymmetric unit holds Zr at (0.0000, 0.0000, 0.5000), Ta at (0.5000, 0.5000, 0.5000) and Au at (0.0000, 0.0000, 0.0000).



[3]
Below is crystalline NdTiZnIr2 at its relaxed geometry, with properties calculated at the PBE level.

The value obtained for the formation energy is -634 meV/atom.

The space group is I-4m2 (No. 119) and the conventional cell measures 4.0822, 4.0822 and 11.5146 Å, with angles of 90.00, 90.00 and 90.00 degrees. The asymmetric unit holds Nd at (0.0000, 0.0000, 0.0000), Ti at (0.0000, 0.5000, 0.7500), Zn at (0.0000, 0.5000, 0.2500) and Ir at (0.0000, 0.0000, 0.3870).



[4]
Below is crystalline Ce2Dy6Tm3Th at its relaxed geometry, with properties calculated at the PBE level.

The value obtained for the formation energy is 45 meV/atom.

The space group is C2/m (No. 12) and the conventional cell measures 6.0935, 10.5529 and 11.6747 Å, with angles of 90.00, 100.04 and 90.00 degrees. The asymmetric unit holds Ce at (0.0000, 0.1667, 0.0000), Dy at (0.2490, 0.5000, 0.7514), Dy at (0.2504, 0.1662, 0.7512), Tm at (0.0000, 0.0000, 0.5000), Tm at (0.0000, 0.3332, 0.5000) and Th at (0.0000, 0.5000, 0.0000).